VASP calculation (GGA-PBE) on an optimized crystal structure of HfV3.

Calculated values
* crystal system: tetragonal
* distance to the lowest polymorph of the same formula: 116 meV/atom
* E_tot: -73.08 eV for the cell shown
* SG: I4/mmm, No. 139
* density: 8.87 g cm⁻³
* energy of formation from the pure elements: 0.1917 eV/atom

Structure (CIF):
```
data_HfV3
_cell_length_a 4.433
_cell_length_b 4.433
_cell_length_c 7.050
_cell_angle_alpha 71.67
_cell_angle_beta 71.67
_cell_angle_gamma 90.00
_symmetry_space_group_name_H-M 'P 1'
_symmetry_Int_Tables_number 1
_symmetry_space_group_name_Hall 'P 1'
loop_
_atom_site_label
_atom_site_type_symbol
_atom_site_fract_x
_atom_site_fract_y
_atom_site_fract_z
_atom_site_occupancy
V1 V 0.750 0.250 0.500 1
V2 V 0.121 0.121 0.758 1
V3 V 0.000 0.500 0.000 1
V4 V 0.250 0.750 0.500 1
V5 V 0.879 0.879 0.242 1
V6 V 0.500 0.000 0.000 1
Hf1 Hf 0.629 0.629 0.742 1
Hf2 Hf 0.371 0.371 0.258 1
```